CaF (PBE, optimized geometry); raw formation energy = -447.2 kJ/mol of formula units; VASP energy = -4.25 eV per atom; calculated volume = 18.7 Å³ per atom
1.0
0.000 2.654 2.654
2.654 0.000 2.654
2.654 2.654 0.000
Ca F
1 1
Cartesian
0.000 0.000 0.000 Ca
2.654 2.654 2.654 F